Arrangement 1

Entry from Alexandria: an optimized crystal structure of Ag2RuPt (PBE-GGA).

Summary:
Total magnetic moment, Bohr magnetons per cell: 2.685

CIF file:
```
data_Ag2RuPt
_chemical_formula_sum 'Ag4 Ru2 Pt2'
_symmetry_space_group_name_H-M 'C 1 2/m 1'
_symmetry_Int_Tables_number 12
_symmetry_space_group_name_Hall '-C 2y'
_cell_length_a 9.7034
_cell_length_b 2.7712
_cell_length_c 4.8674
_cell_angle_alpha 90.00
_cell_angle_beta 98.76
_cell_angle_gamma 90.00
loop_
_atom_site_label
_atom_site_type_symbol
_atom_site_fract_x
_atom_site_fract_y
_atom_site_fract_z
Ag1 Ag 0.2491 0.0000 0.2484
Ru1 Ru 0.0000 0.5000 0.0000
Pt1 Pt 0.0000 0.0000 0.5000
```

---

Arrangement 2

Entry from Alexandria: an optimized crystal structure of Ag2RuPt (PBE-GGA).

Summary:
Total magnetic moment, Bohr magnetons per cell: 8.522

CIF file:
```
data_Ag2RuPt
_chemical_formula_sum 'Ag8 Ru4 Pt4'
_symmetry_space_group_name_H-M 'F -4 3 m'
_symmetry_Int_Tables_number 216
_symmetry_space_group_name_Hall 'F -4 2 3'
_cell_length_a 6.4213
_cell_length_b 6.4213
_cell_length_c 6.4213
_cell_angle_alpha 90.00
_cell_angle_beta 90.00
_cell_angle_gamma 90.00
loop_
_atom_site_label
_atom_site_type_symbol
_atom_site_fract_x
_atom_site_fract_y
_atom_site_fract_z
Ag1 Ag 0.0000 0.0000 0.0000
Ag2 Ag 0.2500 0.2500 0.2500
Ru1 Ru 0.0000 0.0000 0.5000
Pt1 Pt 0.2500 0.2500 0.7500
```

---

Arrangement 3

Entry from Alexandria: an optimized crystal structure of Ag2RuPt (PBE-GGA).

Summary:
Total magnetic moment, Bohr magnetons per cell: 0.488

CIF file:
```
data_Ag2RuPt
_chemical_formula_sum 'Ag2 Ru1 Pt1'
_symmetry_space_group_name_H-M 'P 1 m 1'
_symmetry_Int_Tables_number 6
_symmetry_space_group_name_Hall 'P -2y'
_cell_length_a 2.7950
_cell_length_b 3.9082
_cell_length_c 6.0304
_cell_angle_alpha 90.00
_cell_angle_beta 90.10
_cell_angle_gamma 90.00
loop_
_atom_site_label
_atom_site_type_symbol
_atom_site_fract_x
_atom_site_fract_y
_atom_site_fract_z
Ag1 Ag 0.0000 0.0000 0.0000
Ag2 Ag 0.5001 0.5000 0.2479
Ru1 Ru 0.4996 0.5000 0.7204
Pt1 Pt 0.9990 0.0000 0.5332
```

---

Arrangement 4

Entry from Alexandria: an optimized crystal structure of Ag2RuPt (PBE-GGA).

Summary:
Total magnetic moment, Bohr magnetons per cell: 9.294

CIF file:
```
data_Ag2RuPt
_chemical_formula_sum 'Ag8 Ru4 Pt4'
_symmetry_space_group_name_H-M 'F m -3 m'
_symmetry_Int_Tables_number 225
_symmetry_space_group_name_Hall '-F 4 2 3'
_cell_length_a 6.4191
_cell_length_b 6.4191
_cell_length_c 6.4191
_cell_angle_alpha 90.00
_cell_angle_beta 90.00
_cell_angle_gamma 90.00
loop_
_atom_site_label
_atom_site_type_symbol
_atom_site_fract_x
_atom_site_fract_y
_atom_site_fract_z
Ag1 Ag 0.2500 0.2500 0.2500
Ru1 Ru 0.0000 0.0000 0.0000
Pt1 Pt 0.0000 0.0000 0.5000
```

---

The most stable of them is arrangement 3.

---

Arrangement 1

Entry from Alexandria: an optimized crystal structure of Ag2RuPt (PBE-GGA).

Summary:
Total magnetic moment, Bohr magnetons per cell: 1.663

CIF file:
```
data_Ag2RuPt
_chemical_formula_sum 'Ag4 Ru2 Pt2'
_symmetry_space_group_name_H-M 'C 1 m 1'
_symmetry_Int_Tables_number 8
_symmetry_space_group_name_Hall 'C -2y'
_cell_length_a 9.2868
_cell_length_b 2.7650
_cell_length_c 5.1369
_cell_angle_alpha 90.00
_cell_angle_beta 98.54
_cell_angle_gamma 90.00
loop_
_atom_site_label
_atom_site_type_symbol
_atom_site_fract_x
_atom_site_fract_y
_atom_site_fract_z
Ag1 Ag 0.0000 0.0000 0.0000
Ag2 Ag 0.2460 0.0000 0.7828
Ru1 Ru 0.2516 0.5000 0.3022
Pt1 Pt 0.4926 0.0000 0.4802
```

---

Arrangement 2

Entry from Alexandria: an optimized crystal structure of Ag2RuPt (PBE-GGA).

Summary:
Total magnetic moment, Bohr magnetons per cell: 2.264

CIF file:
```
data_Ag2RuPt
_chemical_formula_sum 'Ag4 Ru2 Pt2'
_symmetry_space_group_name_H-M 'C m m m'
_symmetry_Int_Tables_number 65
_symmetry_space_group_name_Hall '-C 2 2'
_cell_length_a 2.7996
_cell_length_b 4.7512
_cell_length_c 9.8786
_cell_angle_alpha 90.00
_cell_angle_beta 90.00
_cell_angle_gamma 90.00
loop_
_atom_site_label
_atom_site_type_symbol
_atom_site_fract_x
_atom_site_fract_y
_atom_site_fract_z
Ag1 Ag 0.0000 0.0000 0.2482
Ru1 Ru 0.0000 0.5000 0.0000
Pt1 Pt 0.0000 0.5000 0.5000
```

---

Arrangement 3

Entry from Alexandria: an optimized crystal structure of Ag2RuPt (PBE-GGA).

Summary:
Total magnetic moment, Bohr magnetons per cell: 2.154

CIF file:
```
data_Ag2RuPt
_chemical_formula_sum 'Ag2 Ru1 Pt1'
_symmetry_space_group_name_H-M 'P m m m'
_symmetry_Int_Tables_number 47
_symmetry_space_group_name_Hall '-P 2 2'
_cell_length_a 2.7619
_cell_length_b 4.3255
_cell_length_c 5.5025
_cell_angle_alpha 90.00
_cell_angle_beta 90.00
_cell_angle_gamma 90.00
loop_
_atom_site_label
_atom_site_type_symbol
_atom_site_fract_x
_atom_site_fract_y
_atom_site_fract_z
Ag1 Ag 0.0000 0.0000 0.2483
Ru1 Ru 0.5000 0.5000 0.0000
Pt1 Pt 0.5000 0.5000 0.5000
```

---

The most stable of them is arrangement 1.

---

Arrangement 1

Entry from Alexandria: an optimized crystal structure of Ag2RuPt (PBE-GGA).

Summary:
Total magnetic moment, Bohr magnetons per cell: 1.355

CIF file:
```
data_Ag2RuPt
_chemical_formula_sum 'Ag2 Ru1 Pt1'
_symmetry_space_group_name_H-M 'P m m m'
_symmetry_Int_Tables_number 47
_symmetry_space_group_name_Hall '-P 2 2'
_cell_length_a 2.7845
_cell_length_b 4.7761
_cell_length_c 4.9568
_cell_angle_alpha 90.00
_cell_angle_beta 90.00
_cell_angle_gamma 90.00
loop_
_atom_site_label
_atom_site_type_symbol
_atom_site_fract_x
_atom_site_fract_y
_atom_site_fract_z
Ag1 Ag 0.0000 0.0000 0.0000
Ag2 Ag 0.5000 0.5000 0.0000
Ru1 Ru 0.0000 0.5000 0.5000
Pt1 Pt 0.5000 0.0000 0.5000
```

---

Arrangement 2

Entry from Alexandria: an optimized crystal structure of Ag2RuPt (PBE-GGA).

Summary:
Total magnetic moment, Bohr magnetons per cell: 0.000

CIF file:
```
data_Ag2RuPt
_chemical_formula_sum 'Ag6 Ru3 Pt3'
_symmetry_space_group_name_H-M 'R 3 m'
_symmetry_Int_Tables_number 160
_symmetry_space_group_name_Hall 'R 3 -2"'
_cell_length_a 2.7976
_cell_length_b 2.7976
_cell_length_c 28.5774
_cell_angle_alpha 90.00
_cell_angle_beta 90.00
_cell_angle_gamma 120.00
loop_
_atom_site_label
_atom_site_type_symbol
_atom_site_fract_x
_atom_site_fract_y
_atom_site_fract_z
Ag1 Ag 0.0000 0.0000 0.0000
Ag2 Ag 0.0000 0.0000 0.2461
Ru1 Ru 0.0000 0.0000 0.4954
Pt1 Pt 0.0000 0.0000 0.7524
```

---

The most stable of them is arrangement 2.

---

Arrangement 1

Entry from Alexandria: an optimized crystal structure of Ag2RuPt (PBE-GGA).

Summary:
Total magnetic moment, Bohr magnetons per cell: 9.882

CIF file:
```
data_Ag2RuPt
_chemical_formula_sum 'Ag8 Ru4 Pt4'
_symmetry_space_group_name_H-M 'I -4 2 d'
_symmetry_Int_Tables_number 122
_symmetry_space_group_name_Hall 'I -4 2bw'
_cell_length_a 7.4155
_cell_length_b 7.4155
_cell_length_c 5.3506
_cell_angle_alpha 90.00
_cell_angle_beta 90.00
_cell_angle_gamma 90.00
loop_
_atom_site_label
_atom_site_type_symbol
_atom_site_fract_x
_atom_site_fract_y
_atom_site_fract_z
Ag1 Ag 0.2500 0.2495 0.3750
Ru1 Ru 0.0000 0.0000 0.0000
Pt1 Pt 0.0000 0.0000 0.5000
```

---

Arrangement 2

Entry from Alexandria: an optimized crystal structure of Ag2RuPt (PBE-GGA).

Summary:
Total magnetic moment, Bohr magnetons per cell: 2.894

CIF file:
```
data_Ag2RuPt
_chemical_formula_sum 'Ag4 Ru2 Pt2'
_symmetry_space_group_name_H-M 'I m m 2'
_symmetry_Int_Tables_number 44
_symmetry_space_group_name_Hall 'I 2 -2'
_cell_length_a 2.8179
_cell_length_b 4.8938
_cell_length_c 9.7102
_cell_angle_alpha 90.00
_cell_angle_beta 90.00
_cell_angle_gamma 90.00
loop_
_atom_site_label
_atom_site_type_symbol
_atom_site_fract_x
_atom_site_fract_y
_atom_site_fract_z
Ag1 Ag 0.0000 0.0000 0.0000
Ag2 Ag 0.0000 0.5000 0.2361
Ru1 Ru 0.0000 0.0000 0.4783
Pt1 Pt 0.0000 0.5000 0.7547
```

---

The most stable of them is arrangement 2.